BaSiPt2S | GGA-PBE | relaxed

```
BaSiPt2S
1.0
5.3576 0.0000 0.0000
0.0000 5.3576 0.0000
0.0000 0.0000 5.7080
Ba Si Pt S
1 1 2 1
Direct
0.0000 0.0000 0.0000
0.5000 0.5000 0.5000
0.0000 0.5000 0.0000
0.5000 0.0000 0.0000
0.0000 0.0000 0.5000
```

mass density: 5.956 Mg/m³
final energy: -3.167 eV/atom
Fermi-level density of states: 0.85 states/eV/atom
ΔE_f (raw): 1.544 eV per atom